Record 1
Compound: La2CuRuN
Source: the Alexandria database
Functional: PBE-GGA
Structure: optimized geometry

## Properties
Space group: P4/mmm, No. 123
Uncorrected energy: -5.31 eV per atom
Formation energy without anion corrections: 0.9991 eV per atom
Distance to the lowest polymorph of the same formula: 1562 meV/atom

Cell lengths 5.4186, 4.3688, 5.4186 Å; angles 90.00, 90.00, 90.00 degrees
Site moments in Bohr magnetons follow the coordinates.
Fractional coordinates of all 5 atoms:
Cu1 0.0000 0.0000 0.0000  0.02
N1 0.5000 0.5000 0.5000  0.47
La1 0.5000 0.0000 0.0000  -0.08
Ru1 0.0000 0.5000 0.0000  0.70
La2 0.0000 0.0000 0.5000  -0.06

Record 2
Compound: Li8CeO6
Source: the Alexandria database
Functional: PBE-GGA
Structure: optimized geometry

## Properties
Space group: R-3, No. 148
Uncorrected energy: -5.55 eV per atom
Formation energy without anion corrections: -2.1518 eV per atom

Cell lengths 6.3153, 6.3153, 6.3153 Å; angles 53.19, 53.19, 53.19 degrees
Fractional coordinates of all 15 atoms:
Li1 0.8976 0.2293 0.5026
Ce1 0.0000 0.0000 0.0000
O1 0.6044 0.2404 0.9001
Li2 0.4974 0.1024 0.7707
O2 0.9001 0.6044 0.2404
Li3 0.5026 0.8976 0.2293
Li4 0.2293 0.5026 0.8976
O3 0.7596 0.0999 0.3956
O4 0.3956 0.7596 0.0999
Li5 0.3535 0.3535 0.3535
O5 0.2404 0.9001 0.6044
Li6 0.1024 0.7707 0.4974
O6 0.0999 0.3956 0.7596
Li7 0.6465 0.6465 0.6465
Li8 0.7707 0.4974 0.1024

Record 3
Compound: CoCu2Pt
Source: the Alexandria database
Functional: PBE-GGA
Structure: optimized geometry

## Properties
Space group: R3m, No. 160
Formation energy: 5.2 kJ/mol of formula units
Uncorrected energy: -5.32 eV per atom

Cell lengths 8.5827, 8.5827, 8.5827 Å; angles 17.83, 17.83, 17.83 degrees
Site moments in Bohr magnetons follow the coordinates.
Fractional coordinates of all 4 atoms:
Pt1 0.4988 0.4988 0.4988  0.16
Cu1 0.2535 0.2535 0.2535  0.00
Cu2 0.0006 0.0006 0.0006  0.01
Co1 0.7472 0.7472 0.7472  1.74

Record 4
Compound: NdDyTl2
Source: the Alexandria database
Functional: PBE-GGA
Structure: optimized geometry

## Properties
Space group: P4/mmm, No. 123
Formation energy: -143.9 kJ/mol of formula units
Uncorrected energy: -3.90 eV per atom
Distance to the lowest polymorph of the same formula: 0 meV/atom

Cell lengths 3.8494, 3.8494, 7.6826 Å; angles 90.00, 90.00, 90.00 degrees
Fractional coordinates of all 4 atoms:
Tl1 0.0000 0.0000 0.7616
Nd1 0.5000 0.5000 0.5000
Dy1 0.5000 0.5000 0.0000
Tl2 0.0000 0.0000 0.2384

Record 5
Compound: CsBa6
Source: the Alexandria database
Functional: PBE-GGA
Structure: optimized geometry

## Properties
Space group: Im-3m, No. 229
Formation energy: 521.3 kJ/mol of formula units
Uncorrected energy: -1.00 eV per atom

Cell lengths 8.9045, 8.9045, 8.9045 Å; angles 109.47, 109.47, 109.47 degrees
Fractional coordinates of all 7 atoms:
Cs1 0.0000 0.0000 0.0000
Ba1 0.2500 0.7500 0.5000
Ba2 0.2500 0.5000 0.7500
Ba3 0.7500 0.5000 0.2500
Ba4 0.5000 0.2500 0.7500
Ba5 0.7500 0.2500 0.5000
Ba6 0.5000 0.7500 0.2500

Record 6
Compound: CaPm3Ge
Source: the Alexandria database
Functional: PBE-GGA
Structure: optimized geometry

## Properties
Space group: P2_1/c, No. 14
Formation energy: -119.8 kJ/mol of formula units
Uncorrected energy: -4.42 eV per atom

Cell lengths 8.5449, 8.8845, 9.9185 Å; angles 122.83, 90.00, 90.00 degrees
Fractional coordinates of all 20 atoms:
Pm1 0.3894 0.0717 0.8188
Ge1 0.7226 0.0902 0.0020
Pm2 0.4494 0.2327 0.5574
Pm3 0.5506 0.7673 0.4426
Pm4 0.8894 0.9283 0.6812
Pm5 0.0506 0.2327 0.0574
Ca1 0.0598 0.3053 0.7203
Ge2 0.2774 0.9098 0.9980
Ge3 0.2226 0.9098 0.4980
Pm6 0.8072 0.3853 0.4298
Pm7 0.6928 0.3853 0.9298
Ca2 0.4402 0.3053 0.2203
Ca3 0.5598 0.6947 0.7797
Ge4 0.7774 0.0902 0.5020
Pm8 0.3072 0.6147 0.0702
Pm9 0.1928 0.6147 0.5702
Pm10 0.9494 0.7673 0.9426
Ca4 0.9402 0.6947 0.2797
Pm11 0.1106 0.0717 0.3188
Pm12 0.6106 0.9283 0.1812

Which of these has the lowest uncorrected energy?
Li8CeO6

What did the sixth record say?
Compound: CaPm3Ge
Source: the Alexandria database
Functional: PBE-GGA
Structure: optimized geometry

## Properties
Space group: P2_1/c, No. 14
Formation energy: -119.8 kJ/mol of formula units
Uncorrected energy: -4.42 eV per atom

Cell lengths 8.5449, 8.8845, 9.9185 Å; angles 122.83, 90.00, 90.00 degrees
Fractional coordinates of all 20 atoms:
Pm1 0.3894 0.0717 0.8188
Ge1 0.7226 0.0902 0.0020
Pm2 0.4494 0.2327 0.5574
Pm3 0.5506 0.7673 0.4426
Pm4 0.8894 0.9283 0.6812
Pm5 0.0506 0.2327 0.0574
Ca1 0.0598 0.3053 0.7203
Ge2 0.2774 0.9098 0.9980
Ge3 0.2226 0.9098 0.4980
Pm6 0.8072 0.3853 0.4298
Pm7 0.6928 0.3853 0.9298
Ca2 0.4402 0.3053 0.2203
Ca3 0.5598 0.6947 0.7797
Ge4 0.7774 0.0902 0.5020
Pm8 0.3072 0.6147 0.0702
Pm9 0.1928 0.6147 0.5702
Pm10 0.9494 0.7673 0.9426
Ca4 0.9402 0.6947 0.2797
Pm11 0.1106 0.0717 0.3188
Pm12 0.6106 0.9283 0.1812